DFT (GGA-PBE) results for a relaxed Dy2HgAu crystal.

Cell lengths 3.9947, 3.9947, 8.2726 Å; angles 76.03, 76.03, 60.00 degrees
Atoms (fractional coordinates):
Au (0.6659, 0.6659, 0.0022)
Dy (0.2573, 0.2573, 0.2282)
Hg (0.5002, 0.5002, 0.4994)
Dy (0.0766, 0.0766, 0.7703)

* DFT total energy: -3.72 eV/atom
* space group: No. 160
* energy relative to the elements: -0.53 eV per atom